# PBE with a Hubbard U MgZrCrO2, relaxed
# **Total energy**: -29.06 eV per cell
# **DOS at the Fermi energy**: 2.084 states/eV/cell
data_MgZrCrO2
_cell_length_a 3.986
_cell_length_b 3.986
_cell_length_c 4.648
_cell_angle_alpha 90.00
_cell_angle_beta 90.00
_cell_angle_gamma 90.00
_space_group_name_H-M_alt 'P 4/m m m'
_space_group_IT_number 123
_space_group_name_Hall '-P 4 2'
loop_
_atom_site_label
_atom_site_type_symbol
_atom_site_fract_x
_atom_site_fract_y
_atom_site_fract_z
_atom_site_occupancy
Mg1 Mg 0.000 0.000 0.000 1
Zr1 Zr 0.500 0.500 0.500 1
Cr1 Cr 0.000 0.000 0.500 1
O1 O 0.000 0.500 0.000 1

---

# PBE with a Hubbard U Mg2ZrCrO, relaxed
# **Total energy**: -23.44 eV per cell
# **DOS at the Fermi energy**: 4.971 states/eV/cell
data_Mg2ZrCrO
_cell_length_a 5.629
_cell_length_b 5.629
_cell_length_c 3.547
_cell_angle_alpha 90.00
_cell_angle_beta 90.00
_cell_angle_gamma 90.00
_space_group_name_H-M_alt 'P 4/m m m'
_space_group_IT_number 123
_space_group_name_Hall '-P 4 2'
loop_
_atom_site_label
_atom_site_type_symbol
_atom_site_fract_x
_atom_site_fract_y
_atom_site_fract_z
_atom_site_occupancy
Mg1 Mg 0.000 0.500 0.000 1
Zr1 Zr 0.000 0.000 0.500 1
Cr1 Cr 0.500 0.500 0.000 1
O1 O 0.500 0.500 0.500 1